Record 1
A geometry-optimized Pu2CdPt structure, computed with PBE.

Structure (CIF):
```
data_Pu2CdPt
_chemical_formula_sum 'Pu8 Cd4 Pt4'
_cell_length_a 7.2528
_cell_length_b 7.2528
_cell_length_c 7.2528
_cell_angle_alpha 90.00
_cell_angle_beta 90.00
_cell_angle_gamma 90.00
_space_group_name_H-M_alt 'F m -3 m'
_space_group_IT_number 225
_space_group_name_Hall '-F 4 2 3'
loop_
_atom_site_label
_atom_site_type_symbol
_atom_site_fract_x
_atom_site_fract_y
_atom_site_fract_z
Pu1 Pu 0.2500 0.2500 0.2500
Cd1 Cd 0.0000 0.0000 0.0000
Pt1 Pt 0.0000 0.0000 0.5000
```

Computed properties:
calculated density	13.85	Mg/m³
final energy	-36.7	eV/f.u.
DOS at the Fermi energy	74.758	states/eV per cell
magnetic moment	2.76	μB per atom

Record 2
A geometry-optimized PuCdPtRh structure, computed with PBE.

Structure (CIF):
```
data_PuCdPtRh
_chemical_formula_sum 'Pu4 Cd4 Pt4 Rh4'
_cell_length_a 6.7389
_cell_length_b 6.7389
_cell_length_c 6.7389
_cell_angle_alpha 90.00
_cell_angle_beta 90.00
_cell_angle_gamma 90.00
_space_group_name_H-M_alt 'F -4 3 m'
_space_group_IT_number 216
_space_group_name_Hall 'F -4 2 3'
loop_
_atom_site_label
_atom_site_type_symbol
_atom_site_fract_x
_atom_site_fract_y
_atom_site_fract_z
Pu1 Pu 0.0000 0.0000 0.0000
Cd1 Cd 0.0000 0.0000 0.5000
Pt1 Pt 0.2500 0.2500 0.2500
Rh1 Rh 0.2500 0.2500 0.7500
```

Computed properties:
calculated density	14.20	Mg/m³
final energy	-30.4	eV/f.u.
DOS at the Fermi energy	31.626	states/eV per cell
magnetic moment	1.16	μB per atom

Record 3
A geometry-optimized Pu4CdRu2Pt structure, computed with PBE.

Structure (CIF):
```
data_Pu4CdRu2Pt
_chemical_formula_sum 'Pu12 Cd3 Ru6 Pt3'
_cell_length_a 4.9798
_cell_length_b 4.9798
_cell_length_c 24.0090
_cell_angle_alpha 90.00
_cell_angle_beta 90.00
_cell_angle_gamma 120.00
_space_group_name_H-M_alt 'R -3 m'
_space_group_IT_number 166
_space_group_name_Hall '-R 3 2"'
loop_
_atom_site_label
_atom_site_type_symbol
_atom_site_fract_x
_atom_site_fract_y
_atom_site_fract_z
Pu1 Pu 0.0000 0.0000 0.1194
Pu2 Pu 0.0000 0.0000 0.3690
Cd1 Cd 0.0000 0.0000 0.5000
Ru1 Ru 0.0000 0.0000 0.2460
Pt1 Pt 0.0000 0.0000 0.0000
```

Computed properties:
calculated density	14.35	Mg/m³
final energy	-84.2	eV/f.u.
DOS at the Fermi energy	80.991	states/eV per cell
magnetic moment	2.54	μB per atom